The following is a DFT calculation (PBE with a Hubbard U) of a relaxed Li2Cr3BiO8 crystal.

POSCAR file:
```
Li2Cr3BiO8
1.0
3.0205 1.7439 5.1550
-3.0205 1.7439 5.1550
0.0000 -3.4878 5.1550
Li Cr Bi O
2 3 1 8
direct
0.1285 0.1285 0.1285
0.8715 0.8715 0.8715
0.0000 0.5000 0.5000
0.5000 0.0000 0.5000
0.5000 0.5000 0.0000
0.5000 0.5000 0.5000
0.2531 0.2531 0.7194
0.2531 0.7194 0.2531
0.2666 0.2666 0.2666
0.2806 0.7469 0.7469
0.7194 0.2531 0.2531
0.7334 0.7334 0.7334
0.7469 0.2806 0.7469
0.7469 0.7469 0.2806
```

The following is a DFT calculation (PBE with a Hubbard U) of a relaxed Li4CrBiTe2O12 crystal.

POSCAR file:
```
Li4CrBiTe2O12
1.0
5.2184 0.0000 0.0000
-0.0108 5.4909 0.0000
-0.0084 -0.5511 7.5674
Li Cr Bi Te O
4 1 1 2 12
direct
0.0000 0.0000 0.0000
0.0083 0.9923 0.5485
0.5038 0.4658 0.0043
0.5153 0.4688 0.5520
0.0060 0.4151 0.8125
0.5082 0.9101 0.3078
0.0073 0.4080 0.3138
0.5062 0.9054 0.8126
0.1361 0.3938 0.0762
0.1783 0.7102 0.3987
0.1998 0.0842 0.7624
0.3080 0.2302 0.4024
0.3312 0.5921 0.7640
0.3569 0.8869 0.0522
0.6481 0.8701 0.5711
0.6802 0.5531 0.2507
0.7009 0.1968 0.8824
0.7969 0.7140 0.8880
0.8624 0.0794 0.2488
0.8801 0.3733 0.5536
```

Number 1: final energy -6.74 eV/atom. Number 2: final energy -5.67 eV/atom.